[1]
VASP calculation (PBE-GGA) on crystalline LaTb2SmN4 at its relaxed geometry.

```
LaTb2SmN4
1.0
-3.339 -0.066 1.294
2.077 -2.630 5.225
0.117 6.184 0.616
La Tb Sm N
1 2 1 4
Direct
0.500 0.500 0.000 La
0.500 0.000 0.500 Tb
0.000 0.500 0.500 Tb
0.000 0.000 0.000 Sm
0.500 0.249 0.258 N
0.500 0.751 0.742 N
0.000 0.243 0.739 N
0.000 0.757 0.261 N
```

Properties
Symmetry   P2/m (10)
Size of the total moment   0.0 μB/cell
D(E_F)   0.54 states/eV/f.u.
Uncorrected formation energy   -145.2 kJ per mole of atoms

[2]
VASP calculation (PBE-GGA) on crystalline SrSi2Ru at its relaxed geometry.

```
SrSi2Ru
1.0
-1.010 -1.758 4.660
-1.676 -4.325 -2.078
4.592 2.177 0.052
Ru Si Sr
1 2 1
Direct
0.250 0.750 0.500 Ru
0.082 0.082 0.000 Si
0.418 0.418 0.000 Si
0.750 0.250 0.500 Sr
```

Properties
Symmetry   Immm (71)
Size of the total moment   0.0 μB/cell
D(E_F)   3.10 states/eV/f.u.
Uncorrected formation energy   -4.1 kJ per mole of atoms

Q: Look up the uncorrected formation energy of the second one.
A: -4.1 kJ per mole of atoms

Q: The lowest D(E_F) belongs to which entry?
A: LaTb2SmN4